# SmTaMoO6

Crystalline SmTaMoO6 at its relaxed geometry (GGA+U, Alexandria).

Computed properties:
* final energy: -8.563 eV/atom
* magnetic moment: 0.222 μB/atom
* SG: P4_2nm

Cell: 4.949 4.949 9.858 Å, 90.00 90.00 90.00°
Fractional coordinates of all 18 atoms:
O (0.784, 0.216, 0.817)
O (0.207, 0.793, 0.188)
Mo (0.500, 0.500, 0.168)
O (0.824, 0.176, 0.496)
O (0.716, 0.716, 0.317)
O (0.324, 0.324, 0.996)
Ta (0.000, 0.000, 0.334)
Mo (0.000, 0.000, 0.668)
Ta (0.500, 0.500, 0.834)
O (0.676, 0.676, 0.996)
O (0.216, 0.784, 0.817)
O (0.707, 0.707, 0.688)
O (0.284, 0.284, 0.317)
O (0.293, 0.293, 0.688)
Sm (0.000, 0.000, 0.997)
Sm (0.500, 0.500, 0.497)
O (0.793, 0.207, 0.188)
O (0.176, 0.824, 0.496)